1.
Density functional theory data (GGA-PBE) for crystalline Tb2Nd6Dy3Sc at its relaxed geometry.

a = 6.244 Å, b = 10.814 Å, c = 11.787 Å
α = 90.00°, β = 100.15°, γ = 90.00°
Space group C2/m (No. 12)
Symmetry-distinct sites (fractional):
Tb (0.000, 0.167, 0.000) x4
Nd (0.247, 0.335, 0.248) x8
Nd (0.248, 0.500, 0.752) x4
Dy (0.000, 0.000, 0.500) x2
Dy (0.000, 0.333, 0.500) x4
Sc (0.000, 0.500, 0.000) x2

energy of formation from the pure elements = 23 meV per atom
uncorrected energy = -115.46 eV for the cell shown
volume = 32.64 Å³ per atom
calculated density = 7.3 g/cm³
crystal system = monoclinic


2.
Density functional theory data (GGA-PBE) for crystalline Ac2CuPtO5 at its relaxed geometry.

a = 7.319 Å, b = 7.319 Å, c = 5.709 Å
α = 90.00°, β = 90.00°, γ = 90.00°
Space group P4/mbm (No. 127)
Symmetry-distinct sites (fractional):
Ac (0.180, 0.320, 0.000) x4
Cu (0.000, 0.000, 0.500) x2
Pt (0.000, 0.500, 0.500) x2
O (0.000, 0.000, 0.000) x2
O (0.132, 0.632, 0.252) x8

uncorrected energy = -117.95 eV for the cell shown
volume = 16.99 Å³ per atom
calculated density = 8.6 g/cm³
crystal system = tetragonal
formation energy without anion corrections = -1.759 eV/atom


3.
Density functional theory data (GGA-PBE) for crystalline MnSb2Rh at its relaxed geometry.

a = 3.325 Å, b = 3.325 Å, c = 7.604 Å
α = 90.00°, β = 90.00°, γ = 90.00°
Space group P4mm (No. 99)
Symmetry-distinct sites (fractional):
Mn (0.000, 0.000, 0.000) x1
Sb (0.000, 0.000, 0.382) x1
Sb (0.500, 0.500, 0.799) x1
Rh (0.500, 0.500, 0.184) x1

E above lowest polymorph = 57.9 meV/atom
uncorrected energy = -25.09 eV for the cell shown
volume = 21.02 Å³ per atom
calculated density = 7.9 g/cm³
crystal system = tetragonal
formation energy without anion corrections = -0.081 eV/atom


4.
Density functional theory data (GGA-PBE) for crystalline CoAu2 at its relaxed geometry.

a = 7.6542 Å, b = 7.6542 Å, c = 2.8269 Å
α = 90.00°, β = 90.00°, γ = 120.00°
Space group P-62m (No. 189)
Symmetry-distinct sites (fractional):
Co (0.0000, 0.0000, 0.0000) x1
Co (0.3333, 0.6667, 0.5000) x2
Au (0.0000, 0.2966, 0.5000) x3
Au (0.0000, 0.6299, 0.0000) x3

energy of formation from the pure elements = 272 meV per atom
uncorrected energy = -38.54 eV for the cell shown
volume = 15.94 Å³ per atom
calculated density = 15.7 g/cm³
crystal system = hexagonal


5.
Density functional theory data (GGA-PBE) for crystalline CaMgTl3Cd at its relaxed geometry.

a = 4.726 Å, b = 13.559 Å, c = 10.154 Å
α = 90.00°, β = 90.00°, γ = 90.00°
Space group Cmcm (No. 63)
Symmetry-distinct sites (fractional):
Ca (0.000, 0.180, 0.250) x4
Mg (0.000, 0.000, 0.000) x4
Tl (0.000, 0.147, 0.750) x4
Tl (0.000, 0.343, 0.507) x8
Cd (0.000, 0.497, 0.750) x4

energy of formation from the pure elements = -136 meV per atom
uncorrected energy = -49.69 eV for the cell shown
volume = 27.11 Å³ per atom
calculated density = 8.1 g/cm³
crystal system = orthorhombic


6.
Density functional theory data (GGA-PBE) for crystalline PrAlZnIr at its relaxed geometry.

a = 4.3729 Å, b = 4.3729 Å, c = 15.2151 Å
α = 90.00°, β = 90.00°, γ = 120.00°
Space group R3m (No. 160, hexagonal axes)
Symmetry-distinct sites (fractional):
Pr (0.0000, 0.0000, 0.0000) x3
Al (0.0000, 0.0000, 0.4716) x3
Zn (0.0000, 0.0000, 0.2024) x3
Ir (0.0000, 0.0000, 0.8026) x3

energy of formation from the pure elements = -593 meV per atom
uncorrected energy = -63.08 eV for the cell shown
volume = 21.00 Å³ per atom
calculated density = 8.4 g/cm³
crystal system = trigonal


7.
Density functional theory data (GGA-PBE) for crystalline Mn4SbAs at its relaxed geometry.

a = 3.730 Å, b = 3.730 Å, c = 6.517 Å
α = 90.00°, β = 90.00°, γ = 90.00°
Space group P4mm (No. 99)
Symmetry-distinct sites (fractional):
Mn (0.000, 0.000, 0.000) x1
Mn (0.000, 0.500, 0.374) x2
Mn (0.500, 0.500, 0.690) x1
Sb (0.500, 0.500, 0.092) x1
As (0.000, 0.000, 0.623) x1

E above lowest polymorph = 0.0 meV/atom
uncorrected energy = -45.36 eV for the cell shown
volume = 15.11 Å³ per atom
calculated density = 7.6 g/cm³
crystal system = tetragonal
formation energy without anion corrections = 0.014 eV/atom


8.
Density functional theory data (GGA-PBE) for crystalline NaRh2S3 at its relaxed geometry.

a = 7.223 Å, b = 12.045 Å, c = 5.475 Å
α = 90.00°, β = 90.00°, γ = 90.00°
Space group Cmcm (No. 63)
Symmetry-distinct sites (fractional):
Na (0.000, 0.200, 0.250) x4
Rh (0.198, 0.500, 0.000) x8
S (0.000, 0.398, 0.750) x4
S (0.148, 0.128, 0.750) x8

uncorrected energy = -122.93 eV for the cell shown
volume = 19.85 Å³ per atom
calculated density = 4.5 g/cm³
crystal system = orthorhombic
formation energy without anion corrections = -0.388 eV/atom


Copy entry 5 word for word.
Density functional theory data (GGA-PBE) for crystalline CaMgTl3Cd at its relaxed geometry.

a = 4.726 Å, b = 13.559 Å, c = 10.154 Å
α = 90.00°, β = 90.00°, γ = 90.00°
Space group Cmcm (No. 63)
Symmetry-distinct sites (fractional):
Ca (0.000, 0.180, 0.250) x4
Mg (0.000, 0.000, 0.000) x4
Tl (0.000, 0.147, 0.750) x4
Tl (0.000, 0.343, 0.507) x8
Cd (0.000, 0.497, 0.750) x4

energy of formation from the pure elements = -136 meV per atom
uncorrected energy = -49.69 eV for the cell shown
volume = 27.11 Å³ per atom
calculated density = 8.1 g/cm³
crystal system = orthorhombic


Repeat the first record exactly.
Density functional theory data (GGA-PBE) for crystalline Tb2Nd6Dy3Sc at its relaxed geometry.

a = 6.244 Å, b = 10.814 Å, c = 11.787 Å
α = 90.00°, β = 100.15°, γ = 90.00°
Space group C2/m (No. 12)
Symmetry-distinct sites (fractional):
Tb (0.000, 0.167, 0.000) x4
Nd (0.247, 0.335, 0.248) x8
Nd (0.248, 0.500, 0.752) x4
Dy (0.000, 0.000, 0.500) x2
Dy (0.000, 0.333, 0.500) x4
Sc (0.000, 0.500, 0.000) x2

energy of formation from the pure elements = 23 meV per atom
uncorrected energy = -115.46 eV for the cell shown
volume = 32.64 Å³ per atom
calculated density = 7.3 g/cm³
crystal system = monoclinic